Rb5Tc2O6: relaxed, PBE.

Output
**N(E_F)**: 0.26 states/eV/atom
**Total magnetization**: 1.1 μB/f.u.
**E**: -5.59 eV/atom
**Space-group type**: C2/c (15)
**E_form (uncorrected)**: -1.338 eV per atom

Cell and atoms, written as POSCAR:
```
Rb5Tc2O6
1.0
-6.2334 -1.3698 2.3287
0.0025 -5.2642 4.2946
0.4475 6.9518 12.3522
Rb Tc O
10 4 12
Direct
0.6759 0.2038 0.9933
0.7962 0.3241 0.5067
0.3241 0.7962 0.0067
0.2038 0.6759 0.4933
0.7830 0.9110 0.7104
0.0890 0.2170 0.7896
0.2170 0.0890 0.2896
0.9110 0.7830 0.2104
0.3987 0.6013 0.7500
0.6013 0.3987 0.2500
0.3516 0.1185 0.5556
0.8815 0.6484 0.9444
0.6484 0.8815 0.4444
0.1185 0.3516 0.0556
0.1510 0.9946 0.6162
0.0054 0.8490 0.8838
0.8490 0.0054 0.3838
0.9946 0.1510 0.1162
0.4302 0.2575 0.6385
0.7425 0.5698 0.8615
0.5698 0.7425 0.3615
0.2575 0.4302 0.1385
0.6398 0.7674 0.5720
0.2326 0.3602 0.9280
0.3602 0.2326 0.4280
0.7674 0.6398 0.0720
```


TbPaSb2N: relaxed, PBE.

Output
**N(E_F)**: 0.61 states/eV/atom
**Total magnetization**: 0.0 μB/f.u.
**E**: -7.16 eV/atom
**Space-group type**: P4/nmm (129)
**E_form (uncorrected)**: -1.022 eV per atom

Cell and atoms, written as POSCAR:
```
TbPaSb2N
1.0
-3.0188 0.6606 2.7247
0.1974 -3.9439 1.1749
9.6608 3.4249 9.8731
Tb Pa Sb N
2 2 4 2
Direct
0.5000 0.0000 0.0878
0.0000 0.5000 0.9122
0.5000 0.0000 0.5771
0.0000 0.5000 0.4229
0.0000 0.5000 0.6950
0.0000 0.5000 0.1408
0.5000 0.0000 0.8592
0.5000 0.0000 0.3050
0.0000 0.0000 0.5000
0.5000 0.5000 0.5000
```


TlHg5Pd6: relaxed, PBE.

Output
**N(E_F)**: 0.29 states/eV/atom
**Total magnetization**: 0.0 μB/f.u.
**E**: -3.07 eV/atom
**Space-group type**: P2/m (10)
**ΔH_f (0 K)**: -0.15 eV/atom

Cell and atoms, written as POSCAR:
```
TlHg5Pd6
1.0
-2.4081 -3.3531 -2.6894
0.3593 -4.0033 4.6695
-5.8927 2.9933 3.0196
Tl Hg Pd
1 5 6
Direct
0.0000 0.0000 0.0000
0.6657 0.5000 0.3334
0.3349 0.0000 0.6622
0.0000 0.5000 0.0000
0.6651 0.0000 0.3378
0.3343 0.5000 0.6666
0.8349 0.7494 0.6677
0.8349 0.2506 0.6677
0.5000 0.2484 0.0000
0.5000 0.7516 0.0000
0.1651 0.7494 0.3323
0.1651 0.2506 0.3323
```


Sm5Cu4Rh: relaxed, PBE.

Output
**N(E_F)**: 0.72 states/eV/atom
**Total magnetization**: 0.0 μB/f.u.
**E**: -5.02 eV/atom
**Space-group type**: P4/mmm (123)
**ΔH_f (0 K)**: -0.29 eV/atom

Cell and atoms, written as POSCAR:
```
Sm5Cu4Rh
1.0
3.5375 0.0000 0.0000
0.0000 3.5375 0.0000
0.0000 0.0000 17.7210
Sm Cu Rh
5 4 1
Direct
0.5000 0.5000 0.0961
0.5000 0.5000 0.2983
0.5000 0.5000 0.5000
0.5000 0.5000 0.7017
0.5000 0.5000 0.9039
0.0000 0.0000 0.1991
0.0000 0.0000 0.3997
0.0000 0.0000 0.6003
0.0000 0.0000 0.8009
0.0000 0.0000 0.0000
```


NdBe2Cu5: relaxed, PBE.

Output
**N(E_F)**: 0.49 states/eV/atom
**Total magnetization**: 0.0 μB/f.u.
**E**: -4.14 eV/atom
**Space-group type**: Immm (71)
**ΔH_f (0 K)**: -0.05 eV/atom

Cell and atoms, written as POSCAR:
```
NdBe2Cu5
1.0
3.5837 0.0000 0.0000
1.7918 5.6637 0.2929
1.7918 1.3285 5.5135
Nd Be Cu
1 2 5
Direct
0.0000 0.0000 0.0000
0.7557 0.7443 0.7443
0.2443 0.2557 0.2557
0.0000 0.5000 0.5000
0.6566 0.5286 0.1581
0.3434 0.4714 0.8419
0.3434 0.8419 0.4714
0.6566 0.1581 0.5286
```


IrSI: relaxed, PBE.

Output
**N(E_F)**: 0.11 states/eV/atom
**Energy above the lowest structure with this stoichiometry**: 0.1914 eV per atom
**Total magnetization**: 0.0 μB/f.u.
**E**: -4.86 eV/atom
**Space-group type**: P1 (1)
**E_form (uncorrected)**: -0.015 eV per atom

Cell and atoms, written as POSCAR:
```
IrSI
1.0
-1.2314 3.4765 0.8427
-1.5444 -1.7583 5.8188
5.8154 2.0584 3.3796
I S Ir
2 2 2
Direct
0.7613 0.9895 0.2066
0.1158 0.7814 0.6589
0.6405 0.2909 0.5938
0.3795 0.4886 0.2086
0.1940 0.1807 0.4214
0.8474 0.5841 0.3705
```


Al2FeTc: relaxed, PBE.

Output
**N(E_F)**: 0.70 states/eV/atom
**Energy above the lowest structure with this stoichiometry**: 0.0620 eV per atom
**Total magnetization**: 2.6 μB/f.u.
**E**: -6.82 eV/atom
**Space-group type**: Immm (71)
**ΔH_f (0 K)**: -0.24 eV/atom

Cell and atoms, written as POSCAR:
```
Al2FeTc
1.0
4.7780 0.0024 -0.0087
1.7890 4.4305 0.0087
-2.9100 -2.7698 2.5865
Al Tc Fe
2 1 1
Direct
0.9928 0.9928 0.0000
0.5072 0.5072 0.0000
0.2500 0.7500 0.5000
0.7500 0.2500 0.5000
```


RbPu2AgI8: relaxed, PBE.

Output
**N(E_F)**: 2.25 states/eV/atom
**Total magnetization**: 10.0 μB/f.u.
**E**: -4.69 eV/atom
**Space-group type**: P-1 (2)
**E_form (uncorrected)**: -0.950 eV per atom

Cell and atoms, written as POSCAR:
```
RbPu2AgI8
1.0
-4.9766 3.2201 5.0354
-0.4949 -5.8419 4.8890
7.2976 3.5350 4.9653
Rb Pu Ag I
1 2 1 8
Direct
0.0000 0.0000 0.5000
0.5001 0.5003 0.7587
0.4999 0.4997 0.2413
0.0000 0.0000 0.0000
0.1483 0.7365 0.2144
0.6276 0.7281 0.0001
0.8514 0.2620 0.2137
0.8517 0.2635 0.7856
0.3724 0.2719 0.9999
0.1486 0.7380 0.7863
0.6214 0.7156 0.4996
0.3786 0.2844 0.5004
```


Number 1: volume 22.860 A^3/atom. Number 2: volume 24.156 A^3/atom. Number 3: volume 18.269 A^3/atom. Number 4: volume 22.176 A^3/atom. Number 5: volume 13.814 A^3/atom. Number 6: volume 27.298 A^3/atom. Number 7: volume 13.697 A^3/atom. Number 8: volume 46.585 A^3/atom.